Record 1
# Pm3Pr2PuSe6 (PBE, relaxed)
# Density of states at the Fermi level, states/eV/atom: 0.912
# Energy, eV per atom: -6.72
# Formation energy (no corrections), eV per atom: -1.800
# V, Å³ per atom: 26.396
data_Pm3Pr2PuSe6
_chemical_formula_sum 'Pm6 Pr4 Pu2 Se12'
_symmetry_space_group_name_H-M 'C 1 2/m 1'
_symmetry_Int_Tables_number 12
_symmetry_space_group_name_Hall '-C 2y'
_cell_length_a 18.362
_cell_length_b 4.190
_cell_length_c 8.464
_cell_angle_alpha 90.00
_cell_angle_beta 103.40
_cell_angle_gamma 90.00
loop_
_atom_site_label
_atom_site_type_symbol
_atom_site_fract_x
_atom_site_fract_y
_atom_site_fract_z
_atom_site_occupancy
Pm1 Pm 0.000 0.000 0.000 1
Pm2 Pm 0.168 0.500 0.336 1
Pr1 Pr 0.165 0.500 0.831 1
Pu1 Pu 0.000 0.000 0.500 1
Se1 Se 0.002 0.500 0.254 1
Se2 Se 0.165 0.000 0.579 1
Se3 Se 0.166 0.000 0.087 1

Record 2
# Zn2CuAs (PBE, relaxed)
# Calculated formation energy, eV/atom: 0.069
# Density of states at the Fermi level, states/eV/atom: 0.187
# Energy, eV per atom: -2.75
# V, Å³ per atom: 15.700
data_Zn2CuAs
_chemical_formula_sum 'Zn2 Cu1 As1'
_symmetry_space_group_name_H-M 'P m m m'
_symmetry_Int_Tables_number 47
_symmetry_space_group_name_Hall '-P 2 2'
_cell_length_a 3.503
_cell_length_b 3.607
_cell_length_c 4.971
_cell_angle_alpha 90.00
_cell_angle_beta 90.00
_cell_angle_gamma 90.00
loop_
_atom_site_label
_atom_site_type_symbol
_atom_site_fract_x
_atom_site_fract_y
_atom_site_fract_z
_atom_site_occupancy
Zn1 Zn 0.000 0.000 0.246 1
Cu1 Cu 0.500 0.500 0.000 1
As1 As 0.500 0.500 0.500 1

Record 3
# LaRe (PBE, relaxed)
# Calculated formation energy, eV/atom: 0.356
# Density of states at the Fermi level, states/eV/atom: 1.053
# Energy, eV per atom: -8.33
# ΔE to the lowest computed polymorph, meV per atom: 205
# V, Å³ per atom: 23.640
data_LaRe
_chemical_formula_sum 'La6 Re6'
_symmetry_space_group_name_H-M 'C m m m'
_symmetry_Int_Tables_number 65
_symmetry_space_group_name_Hall '-C 2 2'
_cell_length_a 5.290
_cell_length_b 15.497
_cell_length_c 3.460
_cell_angle_alpha 90.00
_cell_angle_beta 90.00
_cell_angle_gamma 90.00
loop_
_atom_site_label
_atom_site_type_symbol
_atom_site_fract_x
_atom_site_fract_y
_atom_site_fract_z
_atom_site_occupancy
La1 La 0.000 0.000 0.000 1
La2 La 0.000 0.195 0.500 1
Re1 Re 0.000 0.379 0.000 1
Re2 Re 0.000 0.500 0.500 1

Record 4
# Hf2TiTcN (PBE, relaxed)
# Density of states at the Fermi level, states/eV/atom: 0.851
# Energy, eV per atom: -10.10
# Formation energy (no corrections), eV per atom: -0.800
# V, Å³ per atom: 15.829
data_Hf2TiTcN
_chemical_formula_sum 'Hf2 Ti1 Tc1 N1'
_symmetry_space_group_name_H-M 'P 4/m m m'
_symmetry_Int_Tables_number 123
_symmetry_space_group_name_Hall '-P 4 2'
_cell_length_a 4.492
_cell_length_b 4.492
_cell_length_c 3.922
_cell_angle_alpha 90.00
_cell_angle_beta 90.00
_cell_angle_gamma 90.00
loop_
_atom_site_label
_atom_site_type_symbol
_atom_site_fract_x
_atom_site_fract_y
_atom_site_fract_z
_atom_site_occupancy
Hf1 Hf 0.000 0.500 0.000 1
Ti1 Ti 0.000 0.000 0.500 1
Tc1 Tc 0.500 0.500 0.500 1
N1 N 0.000 0.000 0.000 1

Record 5
# HfTi2Sb3 (PBE, relaxed)
# Density of states at the Fermi level, states/eV/atom: 1.033
# Energy, eV per atom: -6.77
# Formation energy (no corrections), eV per atom: -0.417
# V, Å³ per atom: 22.373
data_HfTi2Sb3
_chemical_formula_sum 'Hf2 Ti4 Sb6'
_symmetry_space_group_name_H-M 'P m c 21'
_symmetry_Int_Tables_number 26
_symmetry_space_group_name_Hall 'P 2c -2'
_cell_length_a 3.897
_cell_length_b 10.639
_cell_length_c 6.476
_cell_angle_alpha 90.00
_cell_angle_beta 90.00
_cell_angle_gamma 90.00
loop_
_atom_site_label
_atom_site_type_symbol
_atom_site_fract_x
_atom_site_fract_y
_atom_site_fract_z
_atom_site_occupancy
Hf1 Hf 0.000 0.109 0.000 1
Ti1 Ti 0.000 0.212 0.473 1
Ti2 Ti 0.500 0.472 0.491 1
Sb1 Sb 0.000 0.383 0.783 1
Sb2 Sb 0.500 0.071 0.666 1
Sb3 Sb 0.500 0.287 0.188 1

Record 6
# YPaTl (PBE, relaxed)
# Calculated formation energy, eV/atom: 0.146
# Density of states at the Fermi level, states/eV/atom: 1.911
# Energy, eV per atom: -5.96
# V, Å³ per atom: 27.854
data_YPaTl
_chemical_formula_sum 'Y4 Pa4 Tl4'
_symmetry_space_group_name_H-M 'I m m m'
_symmetry_Int_Tables_number 71
_symmetry_space_group_name_Hall '-I 2 2'
_cell_length_a 3.249
_cell_length_b 5.749
_cell_length_c 17.891
_cell_angle_alpha 90.00
_cell_angle_beta 90.00
_cell_angle_gamma 90.00
loop_
_atom_site_label
_atom_site_type_symbol
_atom_site_fract_x
_atom_site_fract_y
_atom_site_fract_z
_atom_site_occupancy
Y1 Y 0.000 0.000 0.180 1
Pa1 Pa 0.000 0.236 0.000 1
Tl1 Tl 0.000 0.000 0.356 1

Record 7
# AcTbEu (PBE, relaxed)
# Calculated formation energy, eV/atom: 0.053
# Density of states at the Fermi level, states/eV/atom: 1.250
# Energy, eV per atom: -6.28
# V, Å³ per atom: 39.198
data_AcTbEu
_chemical_formula_sum 'Ac2 Tb2 Eu2'
_symmetry_space_group_name_H-M 'I 4 m m'
_symmetry_Int_Tables_number 107
_symmetry_space_group_name_Hall 'I 4 -2'
_cell_length_a 3.855
_cell_length_b 3.855
_cell_length_c 15.827
_cell_angle_alpha 90.00
_cell_angle_beta 90.00
_cell_angle_gamma 90.00
loop_
_atom_site_label
_atom_site_type_symbol
_atom_site_fract_x
_atom_site_fract_y
_atom_site_fract_z
_atom_site_occupancy
Ac1 Ac 0.000 0.000 0.000 1
Tb1 Tb 0.000 0.000 0.657 1
Eu1 Eu 0.000 0.000 0.319 1

Record 8
# BaCa3Pd (PBE, relaxed)
# Calculated formation energy, eV/atom: -0.038
# Density of states at the Fermi level, states/eV/atom: 0.438
# Energy, eV per atom: -2.66
# ΔE to the lowest computed polymorph, meV per atom: 273
# V, Å³ per atom: 46.696
data_BaCa3Pd
_chemical_formula_sum 'Ba1 Ca3 Pd1'
_symmetry_space_group_name_H-M 'P 4 m m'
_symmetry_Int_Tables_number 99
_symmetry_space_group_name_Hall 'P 4 -2'
_cell_length_a 4.700
_cell_length_b 4.700
_cell_length_c 10.568
_cell_angle_alpha 90.00
_cell_angle_beta 90.00
_cell_angle_gamma 90.00
loop_
_atom_site_label
_atom_site_type_symbol
_atom_site_fract_x
_atom_site_fract_y
_atom_site_fract_z
_atom_site_occupancy
Ba1 Ba 0.000 0.000 0.000 1
Ca1 Ca 0.000 0.000 0.403 1
Ca2 Ca 0.000 0.500 0.696 1
Pd1 Pd 0.500 0.500 0.865 1

Record 9
# Pr6Ge2PbS3 (PBE, relaxed)
# Density of states at the Fermi level, states/eV/atom: 0.316
# Energy, eV per atom: -5.86
# Formation energy (no corrections), eV per atom: -1.356
# V, Å³ per atom: 27.813
data_Pr6Ge2PbS3
_chemical_formula_sum 'Pr12 Ge4 Pb2 S6'
_symmetry_space_group_name_H-M 'C 1 2/m 1'
_symmetry_Int_Tables_number 12
_symmetry_space_group_name_Hall '-C 2y'
_cell_length_a 18.685
_cell_length_b 4.260
_cell_length_c 8.624
_cell_angle_alpha 90.00
_cell_angle_beta 103.49
_cell_angle_gamma 90.00
loop_
_atom_site_label
_atom_site_type_symbol
_atom_site_fract_x
_atom_site_fract_y
_atom_site_fract_z
_atom_site_occupancy
Pr1 Pr 0.001 0.000 0.231 1
Pr2 Pr 0.168 0.500 0.083 1
Pr3 Pr 0.173 0.500 0.588 1
Ge1 Ge 0.166 0.000 0.833 1
Pb1 Pb 0.000 0.500 0.500 1
S1 S 0.000 0.500 0.000 1
S2 S 0.167 0.000 0.332 1

Record 10
# SrMg2WN4 (PBE, relaxed)
# Density of states at the Fermi level, states/eV/atom: 0.000
# Energy, eV per atom: -7.30
# Formation energy (no corrections), eV per atom: -0.907
# V, Å³ per atom: 15.074
data_SrMg2WN4
_chemical_formula_sum 'Sr2 Mg4 W2 N8'
_symmetry_space_group_name_H-M 'P m n 21'
_symmetry_Int_Tables_number 31
_symmetry_space_group_name_Hall 'P 2ac -2'
_cell_length_a 7.490
_cell_length_b 5.825
_cell_length_c 5.529
_cell_angle_alpha 90.00
_cell_angle_beta 90.00
_cell_angle_gamma 90.00
loop_
_atom_site_label
_atom_site_type_symbol
_atom_site_fract_x
_atom_site_fract_y
_atom_site_fract_z
_atom_site_occupancy
Sr1 Sr 0.000 0.179 0.000 1
Mg1 Mg 0.247 0.330 0.516 1
W1 W 0.000 0.805 0.523 1
N1 N 0.000 0.131 0.475 1
N2 N 0.000 0.759 0.861 1
N3 N 0.203 0.664 0.390 1

Number 1: total moment 5.93 μB/f.u.. Number 2: total moment 0.00 μB/f.u.. Number 3: total moment 0.00 μB/f.u.. Number 4: total moment 0.09 μB/f.u.. Number 5: total moment 0.00 μB/f.u.. Number 6: total moment 0.85 μB/f.u.. Number 7: total moment 7.37 μB/f.u.. Number 8: total moment 0.00 μB/f.u.. Number 9: total moment 0.00 μB/f.u.. Number 10: total moment 0.00 μB/f.u..